The following is a DFT calculation (PBE) of crystalline AcPrNdY3 at its relaxed geometry.

```
AcPrNdY3
1.0
-1.999 2.944 0.993
-7.361 -2.331 -7.903
-2.874 -5.099 9.328
Ac Pr Nd Y
2 2 2 6
Direct
0.250 0.129 0.290 Ac
0.750 0.871 0.710 Ac
0.250 0.624 0.124 Pr
0.750 0.376 0.876 Pr
0.250 0.129 0.627 Nd
0.750 0.871 0.373 Nd
0.750 0.872 0.039 Y
0.250 0.128 0.961 Y
0.250 0.620 0.456 Y
0.750 0.380 0.544 Y
0.750 0.381 0.208 Y
0.250 0.619 0.792 Y
```

Values from the calculation:
Energy of formation: 0.031 eV per atom
Space group: No. 11

---

The following is a DFT calculation (PBE) of crystalline LiSb2PtI at its relaxed geometry.

```
LiSb2PtI
1.0
-4.824 -0.645 -0.896
0.937 -0.263 -4.852
0.591 -4.947 0.382
I Sb Pt Li
1 2 1 1
Direct
0.000 0.000 0.500 I
0.000 0.500 0.000 Sb
0.500 0.000 0.000 Sb
0.500 0.500 0.500 Pt
0.000 0.000 0.000 Li
```

Values from the calculation:
Energy above the lowest structure with this stoichiometry: 2.38 eV per formula unit
Space group: No. 123

---

The following is a DFT calculation (PBE) of crystalline CrTe2I at its relaxed geometry.

```
CrTe2I
1.0
1.924 0.000 13.572
-0.962 1.667 13.572
-0.962 -1.667 13.572
I Cr Te
1 1 2
Direct
0.500 0.500 0.500 I
0.000 0.000 0.000 Cr
0.065 0.065 0.065 Te
0.935 0.935 0.935 Te
```

Values from the calculation:
Energy above the lowest structure with this stoichiometry: 2.68 eV per formula unit
Space group: No. 166

---

The following is a DFT calculation (PBE) of crystalline PmNd4Dy7 at its relaxed geometry.

```
PmNd4Dy7
1.0
-1.594 4.987 4.463
-6.451 0.401 -1.304
-5.273 -0.631 10.656
Pm Nd Dy
1 4 7
Direct
0.000 0.000 0.000 Pm
0.525 0.639 0.284 Nd
0.475 0.361 0.716 Nd
0.696 0.836 0.691 Nd
0.304 0.164 0.309 Nd
0.801 0.513 0.949 Dy
0.199 0.487 0.051 Dy
0.057 0.319 0.641 Dy
0.943 0.681 0.359 Dy
0.280 0.812 0.615 Dy
0.500 0.000 0.000 Dy
0.720 0.188 0.385 Dy
```

Values from the calculation:
Energy above the lowest structure with this stoichiometry: 0.00 eV per formula unit
Energy of formation: 0.085 eV per atom
Space group: No. 2

---

The following is a DFT calculation (PBE) of crystalline Tb4AgSb at its relaxed geometry.

```
Tb4AgSb
1.0
-0.513 -1.778 -7.045
3.676 -5.992 1.245
-6.343 -3.661 1.110
Tb Ag Sb
8 2 2
Direct
0.840 0.648 0.169 Tb
0.660 0.148 0.831 Tb
0.349 0.347 0.359 Tb
0.151 0.847 0.641 Tb
0.160 0.352 0.831 Tb
0.340 0.852 0.169 Tb
0.651 0.653 0.641 Tb
0.849 0.153 0.359 Tb
0.500 0.000 0.500 Ag
0.000 0.500 0.500 Ag
0.000 0.000 0.000 Sb
0.500 0.500 0.000 Sb
```

Values from the calculation:
Space group: No. 14
Raw total energy: -4.46 eV per atom

---

The following is a DFT calculation (PBE) of crystalline MgTaCl2 at its relaxed geometry.

```
MgTaCl2
1.0
3.287 -0.002 0.000
-1.915 2.672 0.000
0.000 0.000 10.143
Cl Mg Ta
2 1 1
Direct
0.000 0.000 0.949 Cl
0.000 0.000 0.551 Cl
0.500 0.500 0.250 Mg
0.500 0.500 0.750 Ta
```

Values from the calculation:
Energy above the lowest structure with this stoichiometry: 0.86 eV per formula unit
Space group: No. 65